## TmPuCoAu (PBE)

Data for a relaxed TmPuCoAu crystal.

Structure (extended XYZ):
```
4
Lattice="-3.092 -3.183 -2.125 1.758 -3.621 -2.830 -0.193 -4.660 1.566" Properties=species:S:1:pos:R:3 pbc="T T T"
Co 0.000 0.000 0.000
Tm -0.382 -2.866 -0.847
Au -0.763 -5.732 -1.695
Pu -1.145 -8.598 -2.542
```

Properties
ΔE_f: -0.237 eV per atom
total DFT energy (no corrections): -7.53 eV/atom
space group: F-43m